[1]
Below is a relaxed structure of GeB2ClF, with properties calculated at the GGA-PBE level.

Results
formation energy from raw total energies	1.26	eV/atom
total DFT energy (no corrections)	-0.227	Ry per atom

a b c (Å): 3.926 5.561 3.926
angles (deg): 90.00 90.00 90.00
Sites, in units of the cell vectors:
Ge (0.500, 0.500, 0.500)
F (0.000, 0.000, 0.000)
B (0.000, 0.000, 0.500)
B (0.500, 0.000, 0.000)
Cl (0.000, 0.500, 0.000)

---

[2]
Below is a relaxed structure of HgBCl2F, with properties calculated at the GGA-PBE level.

Results
formation energy from raw total energies	0.33	eV/atom
total DFT energy (no corrections)	-0.160	Ry per atom

a b c (Å): 5.323 4.393 5.323
angles (deg): 90.00 90.00 90.00
Sites, in units of the cell vectors:
B (0.500, 0.500, 0.500)
F (0.000, 0.500, 0.000)
Hg (0.000, 0.000, 0.000)
Cl (0.000, 0.000, 0.500)
Cl (0.500, 0.000, 0.000)

---

[3]
Below is a relaxed structure of HgBClF4, with properties calculated at the GGA-PBE level.

Results
formation energy from raw total energies	-2.05	eV/atom
total DFT energy (no corrections)	-0.322	Ry per atom

a b c (Å): 6.337 6.337 7.691
angles (deg): 68.29 68.29 72.05
Sites, in units of the cell vectors:
Hg (0.190, 0.190, 0.818)
Hg (0.810, 0.810, 0.182)
B (0.610, 0.610, 0.703)
B (0.390, 0.390, 0.297)
Cl (0.097, 0.097, 0.158)
Cl (0.903, 0.903, 0.842)
F (0.266, 0.266, 0.501)
F (0.734, 0.734, 0.499)
F (0.217, 0.527, 0.209)
F (0.523, 0.523, 0.308)
F (0.473, 0.783, 0.791)
F (0.527, 0.217, 0.209)
F (0.477, 0.477, 0.692)
F (0.783, 0.473, 0.791)